Record 1
Computed, not measured: LaTmZnIr after structural relaxation at the PBE-GGA level of DFT.

Cell lengths 7.114, 7.114, 7.114 Å; angles 90.00, 90.00, 90.00 degrees
Space group F-43m (No. 216)
Asymmetric unit:
La: 0.000 0.000 0.000 x4
Tm: 0.000 0.000 0.500 x4
Zn: 0.250 0.250 0.750 x4
Ir: 0.250 0.250 0.250 x4

DOS(E_F): 0.56 states/eV per atom
DFT total energy: -5.43 eV/atom
ΔH_f (0 K): -0.55 eV per atom


Record 2
Computed, not measured: LaUIr after structural relaxation at the PBE-GGA level of DFT.

Cell lengths 11.185, 3.910, 8.180 Å; angles 90.00, 125.40, 90.00 degrees
Space group C2/m (No. 12)
Asymmetric unit:
La: 0.082 0.000 0.371 x4
U: 0.128 0.500 0.046 x4
Ir: 0.172 0.500 0.733 x4

DOS(E_F): 1.58 states/eV per atom
DFT total energy: -8.76 eV/atom
ΔH_f (0 K): -0.40 eV per atom


Record 3
Computed, not measured: LaUIr4 after structural relaxation at the PBE-GGA level of DFT.

Cell lengths 7.639, 7.639, 7.639 Å; angles 90.00, 90.00, 90.00 degrees
Space group F-43m (No. 216)
Asymmetric unit:
La: 0.000 0.000 0.000 x4
U: 0.250 0.250 0.750 x4
Ir: 0.125 0.125 0.375 x16

DOS(E_F): 1.26 states/eV per atom
DFT total energy: -9.19 eV/atom
ΔH_f (0 K): -0.58 eV per atom


Record 4
Computed, not measured: La2V2Ir after structural relaxation at the PBE-GGA level of DFT.

Cell lengths 6.530, 6.530, 5.098 Å; angles 90.00, 90.00, 90.00 degrees
Space group P4/mbm (No. 127)
Asymmetric unit:
La: 0.177 0.323 0.000 x4
V: 0.138 0.638 0.500 x4
Ir: 0.000 0.000 0.500 x2

energy above the most stable polymorph in this dataset: 0.000 eV per atom
DOS(E_F): 1.23 states/eV per atom
DFT total energy: -7.29 eV/atom
ΔH_f (0 K): 0.10 eV per atom


Record 5
Computed, not measured: LaV3Ir after structural relaxation at the PBE-GGA level of DFT.

Cell lengths 4.771, 4.771, 4.771 Å; angles 90.00, 90.00, 90.00 degrees
Space group Pm-3m (No. 221)
Asymmetric unit:
La: 0.000 0.000 0.000 x1
V: 0.000 0.500 0.500 x3
Ir: 0.500 0.500 0.500 x1

energy above the most stable polymorph in this dataset: 0.000 eV per atom
DOS(E_F): 1.14 states/eV per atom
DFT total energy: -7.76 eV/atom
ΔH_f (0 K): 0.46 eV per atom


Record 6
Computed, not measured: La3VIr after structural relaxation at the PBE-GGA level of DFT.

Cell lengths 5.608, 5.608, 5.608 Å; angles 90.00, 90.00, 90.00 degrees
Space group Pm-3m (No. 221)
Asymmetric unit:
La: 0.000 0.000 0.500 x3
V: 0.500 0.500 0.500 x1
Ir: 0.000 0.000 0.000 x1

energy above the most stable polymorph in this dataset: 0.000 eV per atom
DOS(E_F): 1.16 states/eV per atom
DFT total energy: -6.41 eV/atom
ΔH_f (0 K): 0.14 eV per atom


Record 7
Computed, not measured: LaVIr3 after structural relaxation at the PBE-GGA level of DFT.

Cell lengths 4.646, 4.646, 4.646 Å; angles 90.00, 90.00, 90.00 degrees
Space group Pm-3m (No. 221)
Asymmetric unit:
La: 0.000 0.000 0.000 x1
V: 0.500 0.500 0.500 x1
Ir: 0.000 0.500 0.500 x3

energy above the most stable polymorph in this dataset: 0.000 eV per atom
DOS(E_F): 0.79 states/eV per atom
DFT total energy: -8.03 eV/atom
ΔH_f (0 K): 0.09 eV per atom


Record 8
Computed, not measured: LaV2Ir2 after structural relaxation at the PBE-GGA level of DFT.

Cell lengths 4.226, 4.226, 10.571 Å; angles 90.00, 90.00, 90.00 degrees
Space group I4/mmm (No. 139)
Asymmetric unit:
La: 0.000 0.000 0.000 x2
V: 0.000 0.000 0.373 x4
Ir: 0.000 0.500 0.250 x4

energy above the most stable polymorph in this dataset: 0.277 eV per atom
DOS(E_F): 1.21 states/eV per atom
DFT total energy: -8.42 eV/atom
ΔH_f (0 K): -0.25 eV per atom


Record 9
Computed, not measured: La2VIr after structural relaxation at the PBE-GGA level of DFT.

Cell lengths 7.307, 7.307, 7.307 Å; angles 90.00, 90.00, 90.00 degrees
Space group Fm-3m (No. 225)
Asymmetric unit:
La: 0.250 0.250 0.250 x8
V: 0.000 0.000 0.000 x4
Ir: 0.000 0.000 0.500 x4

energy above the most stable polymorph in this dataset: 0.000 eV per atom
DOS(E_F): 0.74 states/eV per atom
DFT total energy: -6.97 eV/atom
ΔH_f (0 K): -0.01 eV per atom


Record 10
Computed, not measured: La2VIr after structural relaxation at the PBE-GGA level of DFT.

Cell lengths 8.047, 8.047, 6.365 Å; angles 90.00, 90.00, 90.00 degrees
Space group I-42d (No. 122)
Asymmetric unit:
La: 0.218 0.250 0.125 x8
V: 0.000 0.000 0.500 x4
Ir: 0.000 0.000 0.000 x4

energy above the most stable polymorph in this dataset: 0.209 eV per atom
DOS(E_F): 1.13 states/eV per atom
DFT total energy: -6.76 eV/atom
ΔH_f (0 K): 0.20 eV per atom


Record 11
Computed, not measured: LaVIr2 after structural relaxation at the PBE-GGA level of DFT.

Cell lengths 7.335, 7.335, 5.954 Å; angles 90.00, 90.00, 90.00 degrees
Space group I-42d (No. 122)
Asymmetric unit:
La: 0.000 0.000 0.000 x4
V: 0.000 0.000 0.500 x4
Ir: 0.190 0.250 0.625 x8

energy above the most stable polymorph in this dataset: 0.000 eV per atom
DOS(E_F): 1.00 states/eV per atom
DFT total energy: -8.00 eV/atom
ΔH_f (0 K): -0.06 eV per atom


Record 12
Computed, not measured: LaV2Ir2 after structural relaxation at the PBE-GGA level of DFT.

Cell lengths 7.652, 7.652, 2.846 Å; angles 90.00, 90.00, 90.00 degrees
Space group P4/mbm (No. 127)
Asymmetric unit:
La: 0.000 0.000 0.000 x2
V: 0.157 0.343 0.000 x4
Ir: 0.134 0.634 0.500 x4

energy above the most stable polymorph in this dataset: 0.231 eV per atom
DOS(E_F): 1.01 states/eV per atom
DFT total energy: -8.47 eV/atom
ΔH_f (0 K): -0.29 eV per atom